DFT (PBE) results for a relaxed La3Tb3Pm2 crystal.

```
La3Tb3Pm2
1.0
9.8623 0.0000 0.0000
-4.9312 8.5410 0.0000
0.0000 0.0000 6.7179
La Tb Pm
6 6 4
direct
0.0000 0.2306 0.2500 La
0.0000 0.7694 0.7500 La
0.2306 0.0000 0.2500 La
0.2306 0.2306 0.7500 La
0.7694 0.0000 0.7500 La
0.7694 0.7694 0.2500 La
0.0000 0.4091 0.7500 Tb
0.0000 0.5909 0.2500 Tb
0.4091 0.0000 0.7500 Tb
0.4091 0.4091 0.2500 Tb
0.5909 0.0000 0.2500 Tb
0.5909 0.5909 0.7500 Tb
0.3333 0.6667 0.0000 Pm
0.3333 0.6667 0.5000 Pm
0.6667 0.3333 0.0000 Pm
0.6667 0.3333 0.5000 Pm
```

Computed properties:
The space group is P6_3/mcm. As for the offset from the most stable computed form: 0.1560 eV/atom. As for the crystal system: hexagonal. Its energy is -36.74 eV/f.u.

=====

DFT (PBE) results for a relaxed InIrSe2 crystal.

```
InIrSe2
1.0
4.7796 0.0000 0.0000
0.0000 3.2926 0.0000
-1.2926 0.0000 4.8109
In Ir Se
1 1 2
direct
0.0000 0.0000 0.0000 In
0.5000 0.5000 0.0000 Ir
0.0000 0.5000 0.5000 Se
0.5000 0.0000 0.5000 Se
```

Computed properties:
For the energy relative to the elements, uncorrected, the calculation gives 0.444 eV per atom. The space group is P2/m. As for the crystal system: monoclinic. Its energy is -16.79 eV/f.u.

=====

DFT (PBE) results for a relaxed ErNpOs2 crystal.

```
ErNpOs2
1.0
3.3730 0.0000 0.0000
0.0000 3.3730 0.0000
0.0000 0.0000 6.8081
Er Np Os
1 1 2
direct
0.0000 0.0000 0.0000 Er
0.0000 0.0000 0.5000 Np
0.5000 0.5000 0.2675 Os
0.5000 0.5000 0.7325 Os
```

Computed properties:
The space group is P4/mmm. As for the offset from the most stable computed form: 0.0000 eV/atom. As for the crystal system: tetragonal. Its energy is -40.17 eV/f.u.

=====

DFT (PBE) results for a relaxed TiAlVTcRh crystal.

```
TiAlVTcRh
1.0
2.1295 1.2295 4.5539
-2.1295 1.2295 4.5539
0.0000 -2.4590 4.5539
Ti Al V Tc Rh
1 1 1 1 1
direct
0.0000 0.0000 0.0000 Ti
0.7896 0.7896 0.7896 Al
0.5851 0.5851 0.5851 V
0.3939 0.3939 0.3939 Tc
0.1954 0.1954 0.1954 Rh
```

Computed properties:
The space group is R3m. As for the offset from the most stable computed form: 0.0588 eV/atom. As for the crystal system: trigonal. Its energy is -41.16 eV/f.u.

=====

| no. | density of states at the Fermi level (states/eV/f.u.) |
| --- | --- |
| 1 | 15.37 |
| 2 | 2.03 |
| 3 | 4.34 |
| 4 | 3.30 |